1.
## SiSb2Te (meta-GGA SCAN)

Data for SiSb2Te at its PBEsol-relaxed geometry.

Cell and atoms, written as POSCAR:
```
SiSb2Te
1.0
7.271 0.000 0.000
0.000 7.271 0.000
0.000 0.000 7.271
Si Sb Te
4 8 4
direct
0.000 0.000 0.000 Si
0.000 0.500 0.500 Si
0.500 0.000 0.500 Si
0.500 0.500 0.000 Si
0.000 0.000 0.500 Sb
0.000 0.500 0.000 Sb
0.250 0.250 0.750 Sb
0.250 0.750 0.250 Sb
0.500 0.000 0.000 Sb
0.500 0.500 0.500 Sb
0.750 0.250 0.250 Sb
0.750 0.750 0.750 Sb
0.250 0.250 0.250 Te
0.250 0.750 0.750 Te
0.750 0.250 0.750 Te
0.750 0.750 0.250 Te
```

Computed properties:
space group = F-43m (216)
N(E_F) = 0.57 states/eV per atom
energy above the most stable polymorph in this dataset = 0 meV/atom


2.
## CuTeMoI2 (meta-GGA SCAN)

Data for CuTeMoI2 at its PBEsol-relaxed geometry.

Cell and atoms, written as POSCAR:
```
CuTeMoI2
1.0
5.175 0.000 0.000
0.000 5.175 0.000
0.000 0.000 5.200
Cu Te Mo I
1 1 1 2
direct
0.000 0.000 0.000 Cu
0.000 0.000 0.500 Te
0.500 0.500 0.500 Mo
0.000 0.500 0.000 I
0.500 0.000 0.000 I
```

Computed properties:
space group = P4/mmm (123)
N(E_F) = 0.67 states/eV per atom
energy above the most stable polymorph in this dataset = 107 meV/atom